# 1
First-principles (PBE) data for a geometry-optimized MgNiI3 structure, as listed in Alexandria.

Cell: 5.7073 5.7073 5.7073 Å, 90.00 90.00 90.00°
With the nearest neighbours (Å) after each atom.
Element x y z (fractional)
I  0.0000  0.5000  0.0000  2 Mg 2.85
I  0.0000  0.0000  0.5000  2 Mg 2.85
I  0.5000  0.0000  0.0000  2 Mg 2.85
Ni  0.5000  0.5000  0.5000  12 I 4.04
Mg  0.0000  0.0000  0.0000  6 I 2.85

Results
* Fermi-level density of states: 1.12 states/eV/atom
* relative energy among the computed polymorphs: 1.32 eV/f.u.
* total magnetic moment: 1.03 μB per formula unit
* electronic total energy: -2.169 eV per atom
* formation energy without anion corrections: 236 meV/atom

***

# 2
First-principles (PBE) data for a geometry-optimized MgAlOs3 structure, as listed in Alexandria.

Cell: 4.4702 4.4702 4.4702 Å, 90.00 90.00 90.00°
With the nearest neighbours (Å) after each atom.
Element x y z (fractional)
Mg  0.5000  0.5000  0.5000  12 Os 3.16
Os  0.0000  0.5000  0.0000  2 Al 2.24
Os  0.0000  0.0000  0.5000  2 Al 2.24
Os  0.5000  0.0000  0.0000  2 Al 2.24
Al  0.0000  0.0000  0.0000  6 Os 2.24

Results
* Fermi-level density of states: 1.13 states/eV/atom
* energy of formation from the pure elements: 6.863 eV/f.u.
* total magnetic moment: 1.91 μB per formula unit
* electronic total energy: -6.433 eV per atom

***

# 3
First-principles (PBE) data for a geometry-optimized LiCuAuBr2 structure, as listed in Alexandria.

Cell: 5.4718 4.7691 5.4718 Å, 90.00 90.00 90.00°
With the nearest neighbours (Å) after each atom.
Element x y z (fractional)
Au  0.0000  0.0000  0.0000  2 Li 2.38
Cu  0.5000  0.5000  0.5000  8 Br 3.63, 4 Li 3.87
Br  0.0000  0.0000  0.5000  2 Au 2.74
Br  0.5000  0.0000  0.0000  2 Au 2.74
Li  0.0000  0.5000  0.0000  2 Au 2.38

Results
* Fermi-level density of states: 0.63 states/eV/atom
* total magnetic moment: 0.00 μB per formula unit
* electronic total energy: -2.251 eV per atom
* formation energy without anion corrections: 275 meV/atom

***

# 4
First-principles (PBE) data for a geometry-optimized MgAg2Os structure, as listed in Alexandria.

Cell: 5.6132 5.6132 5.6132 Å, 150.89 128.28 60.45°
With the nearest neighbours (Å) after each atom.
Element x y z (fractional)
Ag  0.0012  0.0012  0.0000  4 Ag 2.82-2.84, 4 Mg 2.83, 2 Os 2.83
Ag  0.7471  0.2471  0.5000  2 Mg 2.80, 4 Ag 2.82-2.84, 4 Os 2.83
Mg  0.4978  0.4978  0.0000  2 Os 2.75, 6 Ag 2.80-2.83, 2 Mg 2.82
Os  0.2539  0.7539  0.5000  2 Mg 2.75, 2 Os 2.82, 6 Ag 2.83

Results
* Fermi-level density of states: 0.51 states/eV/atom
* energy of formation from the pure elements: 1.642 eV/f.u.
* total magnetic moment: 0.00 μB per formula unit
* electronic total energy: -4.221 eV per atom